Density functional theory data (PBE) for a geometry-optimized Al2As structure.

The crystal system is tetragonal. The value obtained for the total magnetic moment is 0.00 Bohr magnetons per cell. The value obtained for the formation energy from the elements is 32 meV per atom.

The structure belongs to space group I4_1/amd (No. 141, origin choice 2); the cell edges are 3.609, 3.609 and 35.074 Å and the angles 90.00°, 90.00° and 90.00°. The inequivalent atoms are Al at (0.000, 0.250, 0.106), Al at (0.000, 0.250, 0.781) and As at (0.000, 0.250, 0.301).